(1)
# Sr3DyZn4, relaxed, DFT PBE-GGA
# - V: 27.7 Å³/atom
# - Uncorrected energy: -2.0545 eV per atom
# - Formation energy from the elements: -0.212 eV per atom
# - Density of states at the Fermi level: 0.72 states/eV per atom
data_Sr3DyZn4
_cell_length_a 3.791
_cell_length_b 3.791
_cell_length_c 15.401
_cell_angle_alpha 90.00
_cell_angle_beta 90.00
_cell_angle_gamma 90.00
_symmetry_space_group_name_H-M 'P 1'
_symmetry_Int_Tables_number 1
loop_
_symmetry_equiv_pos_as_xyz
'x,y,z'
loop_
_atom_site_label
_atom_site_type_symbol
_atom_site_fract_x
_atom_site_fract_y
_atom_site_fract_z
_atom_site_occupancy
Sr1 Sr 0.500 0.500 0.238 1
Sr2 Sr 0.500 0.500 0.500 1
Sr3 Sr 0.500 0.500 0.762 1
Zn1 Zn 0.000 0.000 0.901 1
Zn2 Zn 0.000 0.000 0.099 1
Zn3 Zn 0.000 0.000 0.370 1
Zn4 Zn 0.000 0.000 0.630 1
Dy1 Dy 0.500 0.500 0.000 1

---

(2)
# SrDyZn2, relaxed, DFT PBE-GGA
# - V: 29.4 Å³/atom
# - Uncorrected energy: -2.2314 eV per atom
# - Formation energy from the elements: -0.023 eV per atom
# - Density of states at the Fermi level: 0.75 states/eV per atom
data_SrDyZn2
_cell_length_a 3.985
_cell_length_b 3.985
_cell_length_c 8.848
_cell_angle_alpha 76.99
_cell_angle_beta 76.99
_cell_angle_gamma 60.00
_symmetry_space_group_name_H-M 'P 1'
_symmetry_Int_Tables_number 1
loop_
_symmetry_equiv_pos_as_xyz
'x,y,z'
loop_
_atom_site_label
_atom_site_type_symbol
_atom_site_fract_x
_atom_site_fract_y
_atom_site_fract_z
_atom_site_occupancy
Sr1 Sr 0.500 0.500 0.500 1
Zn1 Zn 0.741 0.741 0.776 1
Zn2 Zn 0.259 0.259 0.224 1
Dy1 Dy 0.000 0.000 0.000 1

---

(3)
# SrDy2Zn, relaxed, DFT PBE-GGA
# - V: 33.2 Å³/atom
# - Uncorrected energy: -2.8765 eV per atom
# - Formation energy from the elements: 0.164 eV per atom
# - Density of states at the Fermi level: 1.19 states/eV per atom
data_SrDy2Zn
_cell_length_a 3.682
_cell_length_b 3.682
_cell_length_c 11.520
_cell_angle_alpha 80.80
_cell_angle_beta 80.80
_cell_angle_gamma 60.00
_symmetry_space_group_name_H-M 'P 1'
_symmetry_Int_Tables_number 1
loop_
_symmetry_equiv_pos_as_xyz
'x,y,z'
loop_
_atom_site_label
_atom_site_type_symbol
_atom_site_fract_x
_atom_site_fract_y
_atom_site_fract_z
_atom_site_occupancy
Sr1 Sr 0.000 0.000 0.000 1
Zn1 Zn 0.500 0.500 0.500 1
Dy1 Dy 0.106 0.106 0.683 1
Dy2 Dy 0.894 0.894 0.317 1

---

(4)
# SrDyZn2, relaxed, DFT PBE-GGA
# - V: 25.9 Å³/atom
# - Uncorrected energy: -2.4622 eV per atom
# - Formation energy from the elements: -0.254 eV per atom
# - Density of states at the Fermi level: 0.80 states/eV per atom
data_SrDyZn2
_cell_length_a 3.737
_cell_length_b 3.737
_cell_length_c 7.414
_cell_angle_alpha 90.00
_cell_angle_beta 90.00
_cell_angle_gamma 90.00
_symmetry_space_group_name_H-M 'P 1'
_symmetry_Int_Tables_number 1
loop_
_symmetry_equiv_pos_as_xyz
'x,y,z'
loop_
_atom_site_label
_atom_site_type_symbol
_atom_site_fract_x
_atom_site_fract_y
_atom_site_fract_z
_atom_site_occupancy
Sr1 Sr 0.500 0.500 0.500 1
Zn1 Zn 0.000 0.000 0.791 1
Zn2 Zn 0.000 0.000 0.209 1
Dy1 Dy 0.500 0.500 0.000 1

---

(5)
# SrDy2Zn, relaxed, DFT PBE-GGA
# - V: 31.5 Å³/atom
# - Uncorrected energy: -3.0986 eV per atom
# - Formation energy from the elements: -0.059 eV per atom
# - Density of states at the Fermi level: 1.24 states/eV per atom
data_SrDy2Zn
_cell_length_a 3.666
_cell_length_b 3.666
_cell_length_c 9.388
_cell_angle_alpha 90.00
_cell_angle_beta 90.00
_cell_angle_gamma 90.00
_symmetry_space_group_name_H-M 'P 1'
_symmetry_Int_Tables_number 1
loop_
_symmetry_equiv_pos_as_xyz
'x,y,z'
loop_
_atom_site_label
_atom_site_type_symbol
_atom_site_fract_x
_atom_site_fract_y
_atom_site_fract_z
_atom_site_occupancy
Sr1 Sr 0.500 0.500 0.500 1
Zn1 Zn 0.500 0.500 0.000 1
Dy1 Dy 0.000 0.000 0.822 1
Dy2 Dy 0.000 0.000 0.178 1

---

(6)
# Sr2DyZn, relaxed, DFT PBE-GGA
# - V: 37.6 Å³/atom
# - Uncorrected energy: -2.0114 eV per atom
# - Formation energy from the elements: 0.299 eV per atom
# - Density of states at the Fermi level: 1.31 states/eV per atom
data_Sr2DyZn
_cell_length_a 3.810
_cell_length_b 3.810
_cell_length_c 12.164
_cell_angle_alpha 80.99
_cell_angle_beta 80.99
_cell_angle_gamma 60.00
_symmetry_space_group_name_H-M 'P 1'
_symmetry_Int_Tables_number 1
loop_
_symmetry_equiv_pos_as_xyz
'x,y,z'
loop_
_atom_site_label
_atom_site_type_symbol
_atom_site_fract_x
_atom_site_fract_y
_atom_site_fract_z
_atom_site_occupancy
Sr1 Sr 0.100 0.100 0.700 1
Sr2 Sr 0.900 0.900 0.300 1
Zn1 Zn 0.500 0.500 0.500 1
Dy1 Dy 0.000 0.000 0.000 1

---

- What is the density of states at the Fermi level in the first record?
  0.72 states/eV per atom